No. 1
The following is a DFT calculation (GGA-PBE) of a relaxed La4Zn crystal.

The structure in POSCAR format:
```
La4Zn
1.0
3.7256 0.0000 -0.5626
-0.0849 3.7246 -0.5626
-0.1141 -0.1167 11.8618
La Zn
4 1
direct
0.5797 0.5797 0.1593
0.1944 0.1944 0.3888
0.8056 0.8056 0.6112
0.4203 0.4203 0.8407
0.0000 0.0000 0.0000
```

Values from the calculation:
For the energy above the most stable polymorph in this dataset, the calculation gives 0 meV/atom.

No. 2
The following is a DFT calculation (GGA-PBE) of a relaxed Pr4Si3Pt crystal.

The structure in POSCAR format:
```
Pr4Si3Pt
1.0
-0.3947 -1.7574 -4.0005
4.0226 -0.5141 -0.1710
-1.1080 -10.1961 4.5883
Pr Si Pt
4 3 1
direct
0.5000 0.5000 0.3572
0.0000 0.5000 0.8583
0.0000 0.0000 0.1356
0.5000 0.0000 0.6432
0.0000 0.5000 0.5686
0.0000 0.0000 0.4350
0.5000 0.0000 0.9291
0.5000 0.5000 0.0731
```

Values from the calculation:
Its formation energy without anion corrections is -18.4 kcal/mol of atoms.

No. 3
The following is a DFT calculation (GGA-PBE) of a relaxed NpCdPdO6 crystal.

The structure in POSCAR format:
```
NpCdPdO6
1.0
5.3434 0.0000 0.0000
-2.6717 4.6275 0.0000
0.0000 0.0000 9.9815
Np Cd Pd O
2 2 2 12
direct
0.6667 0.3333 0.2500
0.3333 0.6667 0.7500
0.0000 0.0000 0.0000
0.0000 0.0000 0.5000
0.3333 0.6667 0.2500
0.6667 0.3333 0.7500
0.6435 0.6490 0.1376
0.0056 0.3565 0.1376
0.3565 0.0056 0.6376
0.9944 0.6435 0.8624
0.3510 0.3565 0.3624
0.0056 0.6490 0.3624
0.6490 0.0056 0.8624
0.6435 0.9944 0.3624
0.9944 0.3510 0.6376
0.3510 0.9944 0.1376
0.6490 0.6435 0.6376
0.3565 0.3510 0.8624
```

Values from the calculation:
Its formation energy without anion corrections is -35.9 kcal/mol of atoms.

No. 4
The following is a DFT calculation (GGA-PBE) of a relaxed CuSb2P crystal.

The structure in POSCAR format:
```
CuSb2P
1.0
5.7345 0.0159 -0.0176
2.3451 5.2330 0.0176
-3.2640 -3.8186 2.7657
Cu P Sb
1 1 2
direct
0.5340 0.5340 0.0000
0.7103 0.2103 0.5000
0.9618 0.9618 0.0000
0.2939 0.7939 0.5000
```

Values from the calculation:
Its formation energy without anion corrections is 7.9 kcal/mol of atoms.

No. 5
The following is a DFT calculation (GGA-PBE) of a relaxed Tl6In2Pb crystal.

The structure in POSCAR format:
```
Tl6In2Pb
1.0
-3.4507 -0.5293 -0.8106
2.5276 -2.0540 -1.4956
-1.9455 -16.0607 18.7690
Tl In Pb
6 2 1
direct
0.6667 0.3333 0.8870
0.3333 0.6667 0.4366
0.3333 0.6667 0.7729
0.3333 0.6667 0.2271
0.3333 0.6667 0.5634
0.6667 0.3333 0.1130
0.6667 0.3333 0.3324
0.6667 0.3333 0.6676
0.3333 0.6667 0.0000
```

Values from the calculation:
For the energy above the most stable polymorph in this dataset, the calculation gives 0 meV/atom.

No. 6
The following is a DFT calculation (GGA-PBE) of a relaxed AgRh2Cl crystal.

The structure in POSCAR format:
```
AgRh2Cl
1.0
4.7065 0.0000 0.0000
0.0000 3.8146 0.0000
0.0000 0.0000 3.8146
Ag Cl Rh
1 1 2
direct
0.5000 0.5000 0.0000
0.5000 0.0000 0.5000
0.0000 0.0000 0.0000
0.0000 0.5000 0.5000
```

Values from the calculation:
Its formation energy without anion corrections is 16.9 kcal/mol of atoms. For the energy above the most stable polymorph in this dataset, the calculation gives 555 meV/atom.

No. 7
The following is a DFT calculation (GGA-PBE) of a relaxed Th3CoSb crystal.

The structure in POSCAR format:
```
Th3CoSb
1.0
-2.9467 -2.8339 -1.2648
4.8923 -2.0180 -6.8764
6.7688 -10.5723 7.9184
Th Co Sb
12 4 4
direct
0.2500 0.3417 0.5034
0.7500 0.8105 0.2191
0.7500 0.5227 0.8941
0.7500 0.0227 0.6059
0.7500 0.6583 0.4966
0.2500 0.9773 0.3941
0.2500 0.8417 0.9966
0.7500 0.3105 0.2809
0.2500 0.6895 0.7191
0.2500 0.1895 0.7809
0.7500 0.1583 0.0034
0.2500 0.4773 0.1059
0.2500 0.3259 0.9368
0.2500 0.8259 0.5632
0.7500 0.1741 0.4368
0.7500 0.6741 0.0632
0.7500 0.9084 0.8270
0.2500 0.0916 0.1730
0.7500 0.4084 0.6730
0.2500 0.5916 0.3270
```

Values from the calculation:
Its formation energy without anion corrections is -12.3 kcal/mol of atoms. For the energy above the most stable polymorph in this dataset, the calculation gives 0 meV/atom.

No. 8
The following is a DFT calculation (GGA-PBE) of a relaxed LiHg2Pb2 crystal.

The structure in POSCAR format:
```
LiHg2Pb2
1.0
7.9521 0.0000 0.0000
0.0000 7.9521 0.0000
0.0000 0.0000 4.4035
Pb Hg Li
4 4 2
direct
0.3475 0.8475 0.0000
0.8475 0.6525 0.0000
0.6525 0.1525 0.0000
0.1525 0.3475 0.0000
0.1542 0.6542 0.5000
0.6542 0.8458 0.5000
0.8458 0.3458 0.5000
0.3458 0.1542 0.5000
0.0000 0.0000 0.0000
0.5000 0.5000 0.0000
```

Values from the calculation:
For the energy above the most stable polymorph in this dataset, the calculation gives 155 meV/atom.

No. 9
The following is a DFT calculation (GGA-PBE) of a relaxed MnCrFe2 crystal.

The structure in POSCAR format:
```
MnCrFe2
1.0
4.3285 -0.0138 0.0000
1.5066 4.0578 0.0000
-2.9175 -2.0220 2.4770
Cr Mn Fe
1 1 2
direct
0.7500 0.2500 0.5000
0.2500 0.7500 0.5000
0.0000 0.0000 0.0000
0.5000 0.5000 0.0000
```

No. 10
The following is a DFT calculation (GGA-PBE) of a relaxed KTc2Pb crystal.

The structure in POSCAR format:
```
KTc2Pb
1.0
-1.4550 -0.6957 -5.3680
-4.3853 -0.5984 4.0224
-1.3116 2.4711 -0.3049
K Pb Tc
1 1 2
direct
0.0000 0.5000 0.5000
0.5000 0.5000 0.0000
0.0000 0.0000 0.0000
0.5000 0.0000 0.5000
```

No. 11
The following is a DFT calculation (GGA-PBE) of a relaxed ZrTi2Fe2 crystal.

The structure in POSCAR format:
```
ZrTi2Fe2
1.0
3.9879 0.0000 0.0000
0.0000 3.9879 0.0000
1.9939 1.9939 5.0381
Fe Zr Ti
2 1 2
direct
0.7500 0.2500 0.5000
0.2500 0.7500 0.5000
0.0000 0.0000 0.0000
0.3701 0.3701 0.2599
0.6299 0.6299 0.7401
```

Values from the calculation:
For the energy above the most stable polymorph in this dataset, the calculation gives 258 meV/atom.

No. 12
The following is a DFT calculation (GGA-PBE) of a relaxed LuMgAg2 crystal.

The structure in POSCAR format:
```
LuMgAg2
1.0
-1.6044 -2.8395 -0.9713
4.1965 -2.5763 0.6001
-1.2361 -0.9149 4.7163
Mg Lu Ag
1 1 2
direct
0.5000 0.0000 0.0000
0.5000 0.5000 0.5000
0.0000 0.0000 0.5000
0.0000 0.5000 0.0000
```

No. 13
The following is a DFT calculation (GGA-PBE) of a relaxed K2SrIO4 crystal.

The structure in POSCAR format:
```
K2SrIO4
1.0
-1.0716 0.2849 -5.7936
5.3415 -2.1777 1.2333
-3.6241 -3.7052 2.8165
K Sr I O
2 1 1 4
direct
0.5000 0.7500 0.2500
0.0000 0.0000 0.0000
0.5000 0.2500 0.7500
0.0000 0.5000 0.5000
0.5627 0.2800 0.3631
0.0831 0.2827 0.7200
0.9169 0.6369 0.1997
0.4373 0.8003 0.7173
```

Values from the calculation:
Its formation energy without anion corrections is -31.0 kcal/mol of atoms.

no.,total DFT energy (no corrections) (eV per atom),total magnetization (μB/f.u.)
1,-4.320,0.00
2,-5.978,0.43
3,-6.981,1.06
4,-4.094,0.00
5,-2.588,0.00
6,-4.117,2.28
7,-7.229,0.00
8,-1.982,0.00
9,-8.844,1.88
10,-5.054,0.00
11,-8.089,0.00
12,-3.172,0.00
13,-4.502,1.06